# KLaPr2S4 | Alexandria | PBE-GGA | relaxed
# DFT total energy: -5.946 eV/atom
# M_tot: 0.0000 μB/atom
# Raw formation energy: -1493 kJ/mol of formula units
data_KLaPr2S4
_chemical_formula_sum 'K1 La1 Pr2 S4'
_space_group_name_H-M_alt 'P 1 2/m 1'
_space_group_IT_number 10
_cell_length_a 7.230
_cell_length_b 4.147
_cell_length_c 7.324
_cell_angle_alpha 90.00
_cell_angle_beta 108.87
_cell_angle_gamma 90.00
loop_
_space_group_symop_operation_xyz
'x,y,z'
'-x,-y,-z'
'-x,y,-z'
'x,-y,z'
loop_
_atom_site_label
_atom_site_type_symbol
_atom_site_fract_x
_atom_site_fract_y
_atom_site_fract_z
_atom_site_occupancy
K1 K 0.000 0.000 0.000 1
La1 La 0.500 0.500 0.000 1
Pr1 Pr 0.000 0.500 0.500 1
Pr2 Pr 0.500 0.000 0.500 1
S1 S 0.254 0.000 0.744 1
S2 S 0.265 0.500 0.266 1